(1)
A plane-wave DFT calculation with PBE-GGA was carried out for an optimized crystal structure of Sr2ThSn3Ir4.

* formation enthalpy at 0 K: -0.531 eV/atom
* total DFT energy (no corrections): -6.355 eV/atom

Unit cell a=4.591 b=4.591 c=11.427 alpha=90.00 beta=90.00 gamma=90.00
Space group P-4m2 (No. 115)
Unique sites:
Sr1 0.000 0.500 0.224 [2 per cell]
Th1 0.000 0.000 0.500 [1 per cell]
Sn1 0.000 0.500 0.877 [2 per cell]
Sn2 0.500 0.500 0.500 [1 per cell]
Ir1 0.000 0.000 0.000 [1 per cell]
Ir2 0.000 0.500 0.642 [2 per cell]
Ir3 0.500 0.500 0.000 [1 per cell]

(2)
A plane-wave DFT calculation with PBE-GGA was carried out for an optimized crystal structure of Ba2NbTcF.

* energy relative to the elements, uncorrected: 0.32 eV/atom
* total DFT energy (no corrections): -4.913 eV/atom

Unit cell a=5.523 b=5.523 c=4.303 alpha=90.00 beta=90.00 gamma=90.00
Space group P4/mmm (No. 123)
Unique sites:
Ba1 0.000 0.500 0.000 [2 per cell]
Nb1 0.000 0.000 0.500 [1 per cell]
Tc1 0.500 0.500 0.500 [1 per cell]
F1 0.500 0.500 0.000 [1 per cell]

(3)
A plane-wave DFT calculation with PBE-GGA was carried out for an optimized crystal structure of TbAl4Hg.

* formation enthalpy at 0 K: -0.143 eV/atom
* total DFT energy (no corrections): -3.460 eV/atom

Unit cell a=7.873 b=7.873 c=7.873 alpha=90.00 beta=90.00 gamma=90.00
Space group F-43m (No. 216)
Unique sites:
Tb1 0.000 0.000 0.000 [4 per cell]
Al1 0.126 0.126 0.374 [16 per cell]
Hg1 0.250 0.250 0.750 [4 per cell]

| no. | DOS(E_F) (states/eV/cell) |
| --- | --- |
| 1 | 7.1 |
| 2 | 6.6 |
| 3 | 16.2 |